A:
# Ba5Li, optimized geometry, DFT PBE
data_Ba5Li
_chemical_formula_sum 'Ba20 Li4'
_space_group_name_H-M_alt 'F -4 3 m'
_space_group_IT_number 216
_space_group_name_Hall 'F -4 2 3'
_cell_length_a 11.5431
_cell_length_b 11.5431
_cell_length_c 11.5431
_cell_angle_alpha 90.00
_cell_angle_beta 90.00
_cell_angle_gamma 90.00
loop_
_atom_site_label
_atom_site_fract_x
_atom_site_fract_y
_atom_site_fract_z
Ba1 0.0000 0.0000 0.0000
Ba2 0.1248 0.1248 0.6248
Li1 0.2500 0.2500 0.2500
# * N(E_F): 43.3 states/eV/cell
# * magnetic moment: 0.004 μB per cell
# * theoretical density: 2.995 g/cm3
# * calculated volume: 1538.1 Å³ per cell


B:
# Ba5Li, optimized geometry, DFT PBE
data_Ba5Li
_chemical_formula_sum 'Ba5 Li1'
_space_group_name_H-M_alt 'P 4/m m m'
_space_group_IT_number 123
_space_group_name_Hall '-P 4 2'
_cell_length_a 4.4271
_cell_length_b 4.4271
_cell_length_c 17.4999
_cell_angle_alpha 90.00
_cell_angle_beta 90.00
_cell_angle_gamma 90.00
loop_
_atom_site_label
_atom_site_fract_x
_atom_site_fract_y
_atom_site_fract_z
Ba1 0.0000 0.0000 0.0000
Ba2 0.0000 0.0000 0.3778
Ba3 0.5000 0.5000 0.1886
Li1 0.5000 0.5000 0.5000
# * N(E_F): 8.8 states/eV/cell
# * magnetic moment: 0.005 μB per cell
# * theoretical density: 3.358 g/cm3
# * calculated volume: 343.0 Å³ per cell


Energy above the most stable structure, in kJ/mol of atoms: A 21.7; B 0.0


A:
# Ba3Li4, optimized geometry, DFT PBE
data_Ba3Li4
_chemical_formula_sum 'Ba3 Li4'
_space_group_name_H-M_alt 'P 6/m m m'
_space_group_IT_number 191
_space_group_name_Hall '-P 6 2'
_cell_length_a 7.9185
_cell_length_b 7.9185
_cell_length_c 5.7385
_cell_angle_alpha 90.00
_cell_angle_beta 90.00
_cell_angle_gamma 120.00
loop_
_atom_site_label
_atom_site_fract_x
_atom_site_fract_y
_atom_site_fract_z
Ba1 0.0000 0.5000 0.0000
Li1 0.0000 0.0000 0.2529
Li2 0.3333 0.6667 0.5000
# * N(E_F): 8.6 states/eV/cell
# * magnetic moment: 0.000 μB per cell
# * theoretical density: 2.343 g/cm3
# * calculated volume: 311.6 Å³ per cell


B:
# Ba3Li4, optimized geometry, DFT PBE
data_Ba3Li4
_chemical_formula_sum 'Ba6 Li8'
_space_group_name_H-M_alt 'I 4/m m m'
_space_group_IT_number 139
_space_group_name_Hall '-I 4 2'
_cell_length_a 4.1235
_cell_length_b 4.1235
_cell_length_c 31.7254
_cell_angle_alpha 90.00
_cell_angle_beta 90.00
_cell_angle_gamma 90.00
loop_
_atom_site_label
_atom_site_fract_x
_atom_site_fract_y
_atom_site_fract_z
Ba1 0.0000 0.0000 0.0000
Ba2 0.0000 0.0000 0.3057
Li1 0.0000 0.0000 0.1154
Li2 0.0000 0.0000 0.4206
# * N(E_F): 15.0 states/eV/cell
# * magnetic moment: 0.002 μB per cell
# * theoretical density: 2.707 g/cm3
# * calculated volume: 539.4 Å³ per cell


Energy above the most stable structure, in kJ/mol of atoms: A 22.2; B 0.0


A:
# BaLi5, optimized geometry, DFT PBE
data_BaLi5
_chemical_formula_sum 'Ba1 Li5'
_space_group_name_H-M_alt 'P 4/m m m'
_space_group_IT_number 123
_space_group_name_Hall '-P 4 2'
_cell_length_a 3.8305
_cell_length_b 3.8305
_cell_length_c 11.2436
_cell_angle_alpha 90.00
_cell_angle_beta 90.00
_cell_angle_gamma 90.00
loop_
_atom_site_label
_atom_site_fract_x
_atom_site_fract_y
_atom_site_fract_z
Ba1 0.0000 0.0000 0.0000
Li1 0.0000 0.0000 0.3596
Li2 0.5000 0.5000 0.2340
Li3 0.5000 0.5000 0.5000
# * N(E_F): 4.4 states/eV/cell
# * magnetic moment: 0.000 μB per cell
# * theoretical density: 1.732 g/cm3
# * calculated volume: 165.0 Å³ per cell


B:
# BaLi5, optimized geometry, DFT PBE
data_BaLi5
_chemical_formula_sum 'Ba4 Li20'
_space_group_name_H-M_alt 'F -4 3 m'
_space_group_IT_number 216
_space_group_name_Hall 'F -4 2 3'
_cell_length_a 8.7383
_cell_length_b 8.7383
_cell_length_c 8.7383
_cell_angle_alpha 90.00
_cell_angle_beta 90.00
_cell_angle_gamma 90.00
loop_
_atom_site_label
_atom_site_fract_x
_atom_site_fract_y
_atom_site_fract_z
Ba1 0.0000 0.0000 0.0000
Li1 0.1224 0.1224 0.6224
Li2 0.2500 0.2500 0.2500
# * N(E_F): 20.8 states/eV/cell
# * magnetic moment: 0.011 μB per cell
# * theoretical density: 1.713 g/cm3
# * calculated volume: 667.2 Å³ per cell


C:
# BaLi5, optimized geometry, DFT PBE
data_BaLi5
_chemical_formula_sum 'Ba2 Li10'
_space_group_name_H-M_alt 'C 1 m 1'
_space_group_IT_number 8
_cell_length_a 10.2386
_cell_length_b 4.0576
_cell_length_c 8.4904
_cell_angle_alpha 90.00
_cell_angle_beta 105.11
_cell_angle_gamma 90.00
loop_
_space_group_symop_operation_xyz
'x,y,z'
'x,-y,z'
'x+1/2,y+1/2,z'
'x+1/2,-y+1/2,z'
loop_
_atom_site_label
_atom_site_fract_x
_atom_site_fract_y
_atom_site_fract_z
Ba1 0.0000 0.0000 0.0000
Li1 0.9999 0.0000 0.5006
Li2 0.1560 0.5000 0.7300
Li3 0.1692 0.5000 0.3796
Li4 0.3303 0.0000 0.6204
Li5 0.3442 0.0000 0.2702
# * N(E_F): 7.8 states/eV/cell
# * magnetic moment: 0.000 μB per cell
# * theoretical density: 1.678 g/cm3
# * calculated volume: 340.5 Å³ per cell


D:
# BaLi5, optimized geometry, DFT PBE
data_BaLi5
_chemical_formula_sum 'Ba2 Li10'
_space_group_name_H-M_alt 'C m m m'
_space_group_IT_number 65
_space_group_name_Hall '-C 2 2'
_cell_length_a 5.5821
_cell_length_b 11.5769
_cell_length_c 5.2962
_cell_angle_alpha 90.00
_cell_angle_beta 90.00
_cell_angle_gamma 90.00
loop_
_atom_site_label
_atom_site_fract_x
_atom_site_fract_y
_atom_site_fract_z
Ba1 0.0000 0.0000 0.0000
Li1 0.0000 0.2244 0.5000
Li2 0.0000 0.3194 0.0000
Li3 0.0000 0.5000 0.5000
# * N(E_F): 9.7 states/eV/cell
# * magnetic moment: 0.000 μB per cell
# * theoretical density: 1.669 g/cm3
# * calculated volume: 342.3 Å³ per cell


Energy above the most stable structure, in kJ/mol of atoms: A 1.9; B 0.0; C 2.9; D 4.0


A:
# BaLi5, optimized geometry, DFT PBE
data_BaLi5
_chemical_formula_sum 'Ba1 Li5'
_space_group_name_H-M_alt 'P 6/m m m'
_space_group_IT_number 191
_space_group_name_Hall '-P 6 2'
_cell_length_a 6.5004
_cell_length_b 6.5004
_cell_length_c 4.6955
_cell_angle_alpha 90.00
_cell_angle_beta 90.00
_cell_angle_gamma 120.00
loop_
_atom_site_label
_atom_site_fract_x
_atom_site_fract_y
_atom_site_fract_z
Ba1 0.0000 0.0000 0.0000
Li1 0.0000 0.5000 0.5000
Li2 0.3333 0.6667 0.0000
# * N(E_F): 5.2 states/eV/cell
# * magnetic moment: 0.001 μB per cell
# * theoretical density: 1.663 g/cm3
# * calculated volume: 171.8 Å³ per cell


B:
# BaLi5, optimized geometry, DFT PBE
data_BaLi5
_chemical_formula_sum 'Ba2 Li10'
_space_group_name_H-M_alt 'A m m 2'
_space_group_IT_number 38
_cell_length_a 4.3181
_cell_length_b 4.4512
_cell_length_c 18.0072
_cell_angle_alpha 90.00
_cell_angle_beta 90.00
_cell_angle_gamma 90.00
loop_
_space_group_symop_operation_xyz
'x,y,z'
'-x,-y,z'
'-x,y,z'
'x,-y,z'
'x,y+1/2,z+1/2'
'-x,-y+1/2,z+1/2'
'-x,y+1/2,z+1/2'
'x,-y+1/2,z+1/2'
loop_
_atom_site_label
_atom_site_fract_x
_atom_site_fract_y
_atom_site_fract_z
Ba1 0.0000 0.0000 0.0000
Li1 0.0000 0.0000 0.3298
Li2 0.0000 0.0000 0.7094
Li3 0.5000 0.0000 0.2082
Li4 0.5000 0.0000 0.6041
Li5 0.5000 0.0000 0.8242
# * N(E_F): 6.6 states/eV/cell
# * magnetic moment: 0.000 μB per cell
# * theoretical density: 1.651 g/cm3
# * calculated volume: 346.1 Å³ per cell


Energy above the most stable structure, in kJ/mol of atoms: A 0.0; B 4.9


A:
# Ba5Li4, optimized geometry, DFT PBE
data_Ba5Li4
_chemical_formula_sum 'Ba10 Li8'
_space_group_name_H-M_alt 'I 4/m m m'
_space_group_IT_number 139
_space_group_name_Hall '-I 4 2'
_cell_length_a 11.3706
_cell_length_b 11.3706
_cell_length_c 6.2596
_cell_angle_alpha 90.00
_cell_angle_beta 90.00
_cell_angle_gamma 90.00
loop_
_atom_site_label
_atom_site_fract_x
_atom_site_fract_y
_atom_site_fract_z
Ba1 0.0000 0.0000 0.0000
Ba2 0.1790 0.1790 0.5000
Li1 0.0000 0.3637 0.0000
# * N(E_F): 23.1 states/eV/cell
# * magnetic moment: 0.000 μB per cell
# * theoretical density: 2.932 g/cm3
# * calculated volume: 809.3 Å³ per cell


B:
# Ba5Li4, optimized geometry, DFT PBE
data_Ba5Li4
_chemical_formula_sum 'Ba10 Li8'
_space_group_name_H-M_alt 'P 63/m c m'
_space_group_IT_number 193
_space_group_name_Hall '-P 6c 2'
_cell_length_a 11.0842
_cell_length_b 11.0842
_cell_length_c 7.9239
_cell_angle_alpha 90.00
_cell_angle_beta 90.00
_cell_angle_gamma 120.00
loop_
_atom_site_label
_atom_site_fract_x
_atom_site_fract_y
_atom_site_fract_z
Ba1 0.0000 0.2780 0.2500
Ba2 0.3333 0.6667 0.0000
Li1 0.0000 0.0000 0.0000
Li2 0.0000 0.3836 0.7500
# * N(E_F): 17.5 states/eV/cell
# * magnetic moment: 0.001 μB per cell
# * theoretical density: 2.814 g/cm3
# * calculated volume: 843.1 Å³ per cell


Energy above the most stable structure, in kJ/mol of atoms: A 5.1; B 0.0